(1)
{"formula": "Sm9Y2Ho3", "functional": "PBE-GGA", "state": "optimized geometry", "dos_at_fermi_per_ev_cell": 35.5, "vol_a3_per_atom": 35.0, "ef_ev_per_atom": 0.247, "energy_ev_per_cell": -131.35, "magmom_total_mub_per_cell": 0.00, "lattice_angstrom": [[9.027, 0.000, 0.000], [-4.513, 7.817, 0.000], [0.000, 0.000, 13.880]], "species": ["Sm", "Sm", "Sm", "Sm", "Sm", "Sm", "Sm", "Sm", "Sm", "Sm", "Sm", "Sm", "Sm", "Sm", "Sm", "Sm", "Sm", "Sm", "Y", "Y", "Y", "Y", "Ho", "Ho", "Ho", "Ho", "Ho", "Ho"], "frac_coords": [[0.083, 0.482, 0.250], [0.132, 0.724, 0.042], [0.132, 0.724, 0.458], [0.276, 0.409, 0.042], [0.276, 0.409, 0.458], [0.399, 0.917, 0.250], [0.409, 0.132, 0.542], [0.409, 0.132, 0.958], [0.482, 0.399, 0.750], [0.518, 0.601, 0.250], [0.591, 0.868, 0.042], [0.591, 0.868, 0.458], [0.601, 0.083, 0.750], [0.724, 0.591, 0.542], [0.724, 0.591, 0.958], [0.868, 0.276, 0.542], [0.868, 0.276, 0.958], [0.917, 0.518, 0.750], [0.333, 0.667, 0.642], [0.333, 0.667, 0.858], [0.667, 0.333, 0.142], [0.667, 0.333, 0.358], [0.079, 0.250, 0.750], [0.172, 0.921, 0.750], [0.250, 0.172, 0.250], [0.750, 0.828, 0.750], [0.828, 0.079, 0.250], [0.921, 0.750, 0.250]]}

=====

(2)
{"formula": "Sm3YHo4", "functional": "PBE-GGA", "state": "optimized geometry", "polymorph_energy_mev_per_atom": 0, "dos_at_fermi_per_ev_cell": 27.9, "vol_a3_per_atom": 32.6, "ef_ev_per_atom": 0.016, "energy_ev_per_cell": -77.62, "magmom_total_mub_per_cell": 0.00, "lattice_angstrom": [[11.364, 0.000, 0.000], [0.000, 7.297, 0.000], [0.000, 0.000, 6.299]], "species": ["Sm", "Sm", "Sm", "Sm", "Sm", "Sm", "Y", "Y", "Ho", "Ho", "Ho", "Ho", "Ho", "Ho", "Ho", "Ho"], "frac_coords": [[0.000, 0.128, 0.000], [0.249, 0.873, 0.834], [0.251, 0.127, 0.334], [0.500, 0.872, 0.500], [0.749, 0.127, 0.334], [0.751, 0.873, 0.834], [0.000, 0.872, 0.498], [0.500, 0.128, 0.998], [0.000, 0.377, 0.500], [0.000, 0.622, 0.999], [0.249, 0.622, 0.331], [0.251, 0.378, 0.831], [0.500, 0.378, 0.499], [0.500, 0.623, 0.000], [0.749, 0.378, 0.831], [0.751, 0.622, 0.331]]}

=====

(3)
{"formula": "Sm15Y2Ho2", "functional": "PBE-GGA", "state": "optimized geometry", "dos_at_fermi_per_ev_cell": 32.7, "vol_a3_per_atom": 34.5, "ef_ev_per_atom": 0.275, "energy_ev_per_cell": -87.64, "magmom_total_mub_per_cell": 0.00, "lattice_angstrom": [[5.604, 3.235, 6.029], [-5.604, 3.235, 6.029], [0.000, -6.471, 6.029]], "species": ["Sm", "Sm", "Sm", "Sm", "Sm", "Sm", "Sm", "Sm", "Sm", "Sm", "Sm", "Sm", "Sm", "Sm", "Sm", "Y", "Y", "Ho", "Ho"], "frac_coords": [[0.000, 0.000, 0.500], [0.000, 0.297, 0.703], [0.000, 0.500, 0.000], [0.000, 0.703, 0.297], [0.154, 0.621, 0.621], [0.297, 0.000, 0.703], [0.297, 0.703, 0.000], [0.379, 0.379, 0.846], [0.379, 0.846, 0.379], [0.500, 0.000, 0.000], [0.621, 0.154, 0.621], [0.621, 0.621, 0.154], [0.703, 0.000, 0.297], [0.703, 0.297, 0.000], [0.846, 0.379, 0.379], [0.094, 0.094, 0.094], [0.906, 0.906, 0.906], [0.316, 0.316, 0.316], [0.684, 0.684, 0.684]]}

=====

(4)
{"formula": "Sm4YHo7", "functional": "PBE-GGA", "state": "optimized geometry", "polymorph_energy_mev_per_atom": 190, "dos_at_fermi_per_ev_cell": 20.2, "vol_a3_per_atom": 33.3, "ef_ev_per_atom": 0.278, "energy_ev_per_cell": -54.05, "magmom_total_mub_per_cell": 0.35, "lattice_angstrom": [[6.049, -2.945, 0.000], [6.049, 2.945, 0.000], [-6.045, 0.000, 11.211]], "species": ["Sm", "Sm", "Sm", "Sm", "Y", "Ho", "Ho", "Ho", "Ho", "Ho", "Ho", "Ho"], "frac_coords": [[0.060, 0.060, 0.327], [0.361, 0.361, 0.223], [0.639, 0.639, 0.777], [0.940, 0.940, 0.673], [0.500, 0.500, 0.000], [0.000, 0.000, 0.000], [0.211, 0.211, 0.923], [0.247, 0.247, 0.683], [0.365, 0.365, 0.497], [0.635, 0.635, 0.503], [0.753, 0.753, 0.317], [0.789, 0.789, 0.077]]}